Arrangement w

Material: SnP2
Method: DFT, PBE
State: optimized geometry

Cell and atoms, written as extended XYZ:
```
3
Lattice="4.0627 0.0003 0.0019 -2.0048 3.5875 0.0040 -0.0302 -2.3548 4.8301" Properties=species:S:1:pos:R:3 pbc="T T T"
P 3.0415 -0.5948 3.7729
P -1.0139 1.8278 1.0632
Sn 1.0138 0.6165 2.4180
```

Calculated values
* total magnetic moment: 0.00 μB/f.u.



Arrangement x

Material: SnP2
Method: DFT, PBE
State: optimized geometry

Cell and atoms, written as extended XYZ:
```
6
Lattice="3.1374 0.0000 0.0000 0.0000 3.1374 0.0000 0.0000 0.0000 12.7962" Properties=species:S:1:pos:R:3 pbc="T T T"
P 0.0000 0.0000 2.8360
P 1.5687 1.5687 9.2340
Sn 0.0000 0.0000 0.0000
P 1.5687 1.5687 3.5621
Sn 1.5687 1.5687 6.3981
P 0.0000 0.0000 9.9602
```

Calculated values
* total magnetic moment: 0.00 μB/f.u.



Arrangement y

Material: SnP2
Method: DFT, PBE
State: optimized geometry

Cell and atoms, written as extended XYZ:
```
6
Lattice="-3.7106 -6.0518 0.3379 0.8683 -0.3246 3.7227 -3.5309 3.7013 1.1463" Properties=species:S:1:pos:R:3 pbc="T T T"
P -4.0166 -5.0008 0.5009
Sn -1.8553 -3.0259 0.1689
P -3.2249 2.6503 0.9833
P -1.0253 0.6374 2.2715
P -5.3479 -3.3125 2.9354
Sn -3.1866 -1.3375 2.6034
```

Calculated values
* total magnetic moment: 0.00 μB/f.u.



Order from most stable to least stable according to the calculation: arrangement y, arrangement w, arrangement x